Below is a relaxed Li2NiP3O10 crystal, with properties calculated at the GGA+U level.

Structure (extended XYZ):
```
32
Lattice="8.479 0.000 0.000 0.000 4.683 0.012 0.000 1.330 9.184" Properties=species:S:1:pos:R:3 pbc="T T T"
Li 7.844 5.029 3.138
Li 4.874 5.029 3.138
Li 3.604 0.984 6.058
Li 0.635 0.984 6.058
Ni 0.000 0.000 0.000
Ni 4.239 0.000 0.000
P 6.359 4.250 7.651
P 2.120 3.364 4.203
P 2.120 3.325 7.871
P 6.359 2.689 1.324
P 6.359 2.650 4.992
P 2.120 1.763 1.544
O 7.643 5.060 7.630
O 5.074 5.060 7.630
O 2.120 4.519 6.966
O 3.366 4.239 4.322
O 0.873 4.239 4.322
O 6.359 3.876 4.115
O 5.088 3.549 1.371
O 7.630 3.549 1.371
O 6.359 3.308 8.977
O 2.120 2.863 2.642
O 6.359 3.151 6.553
O 2.120 2.705 0.219
O 0.849 2.464 7.824
O 3.391 2.464 7.824
O 2.120 2.137 5.081
O 7.605 1.774 4.873
O 5.113 1.774 4.873
O 6.359 1.494 2.229
O 3.404 0.954 1.565
O 0.835 0.954 1.565
```

## Properties
- symmetry = No. 11
- E_tot (eV per atom) = -6.48
- DOS(E_F) (states/eV per atom) = 0.225
- M_tot (μB per formula unit) = 2.63
- mass density (g cm⁻³) = 3.0

Below is a relaxed LiNiPO4 crystal, with properties calculated at the GGA+U level.

Structure (extended XYZ):
```
84
Lattice="7.391 0.000 0.000 0.000 8.412 -0.021 0.000 0.034 14.557" Properties=species:S:1:pos:R:3 pbc="T T T"
Li 2.498 0.659 8.586
Li 1.159 0.644 3.518
Li 2.513 0.838 13.336
Li 6.208 3.420 8.490
Li 4.854 3.579 3.750
Li 6.193 3.598 13.239
Li 1.197 4.848 1.297
Li 2.536 4.867 10.786
Li 1.183 5.026 6.047
Li 4.878 7.609 1.201
Li 6.232 7.802 11.018
Li 4.892 7.787 5.951
Ni 0.366 2.095 1.175
Ni 7.013 2.106 6.028
Ni 0.720 2.145 10.917
Ni 4.415 2.112 10.908
Ni 3.318 2.117 1.240
Ni 4.061 2.128 6.093
Ni 3.329 6.318 8.443
Ni 4.072 6.329 13.297
Ni 2.975 6.334 3.628
Ni 6.671 6.301 3.619
Ni 0.377 6.340 8.508
Ni 7.024 6.351 13.361
P 5.529 0.441 8.570
P 5.572 0.774 3.370
P 5.522 0.930 13.551
P 1.827 3.327 8.275
P 1.877 3.449 3.899
P 1.834 3.816 13.256
P 5.557 4.630 1.281
P 5.514 4.997 10.638
P 5.564 5.119 6.262
P 1.869 7.516 0.986
P 1.818 7.672 11.167
P 1.862 8.005 5.967
O 3.214 0.288 5.713
O 0.719 0.483 5.470
O 1.745 0.605 0.583
O 6.879 0.860 2.557
O 4.369 0.788 2.408
O 1.825 0.629 10.417
O 5.646 0.827 7.059
O 5.535 0.947 11.982
O 4.179 1.515 14.036
O 5.514 1.887 4.469
O 5.563 1.791 9.373
O 6.676 1.821 14.044
O 2.980 2.436 7.782
O 1.868 2.466 12.452
O 1.819 2.336 2.799
O 0.484 2.742 7.789
O 1.840 3.311 9.844
O 1.950 3.396 0.210
O 0.673 3.435 4.860
O 5.520 3.629 11.408
O 3.183 3.363 4.711
O 5.440 3.618 6.686
O 4.414 3.740 1.798
O 6.909 3.935 1.555
O 0.482 4.511 12.981
O 2.977 4.706 12.738
O 1.950 4.828 7.851
O 4.207 5.083 9.826
O 1.870 4.817 3.129
O 6.717 5.011 9.677
O 5.440 5.050 14.327
O 5.550 5.136 4.693
O 6.906 5.704 6.747
O 5.572 6.110 11.738
O 5.522 5.980 2.085
O 4.410 6.010 6.755
O 0.715 6.625 0.493
O 1.827 6.655 5.163
O 1.877 6.559 10.067
O 3.211 6.931 0.500
O 1.855 7.499 2.555
O 1.745 7.619 7.478
O 5.565 7.817 4.119
O 3.022 7.658 12.128
O 0.512 7.586 11.979
O 5.645 7.841 13.954
O 6.672 7.963 9.067
O 4.177 8.158 8.824
```

## Properties
- symmetry = No. 14
- energy above the most stable polymorph in this dataset (meV/atom) = 57
- DOS(E_F) (states/eV per atom) = 0.000
- M_tot (μB per formula unit) = 1.97
- mass density (g cm⁻³) = 3.5

Below is a relaxed Li4NiP2O8 crystal, with properties calculated at the GGA+U level.

Structure (extended XYZ):
```
60
Lattice="8.297 0.017 0.000 -2.305 7.888 0.000 0.000 0.000 10.305" Properties=species:S:1:pos:R:3 pbc="T T T"
Li -0.562 4.744 3.503
Li 5.119 6.718 3.530
Li 2.406 3.152 8.655
Li 2.026 2.744 3.471
Li 5.173 4.129 4.389
Li -0.182 5.152 8.624
Li 0.970 6.710 1.623
Li 3.586 4.753 1.649
Li 6.555 3.161 6.802
Li 1.024 4.120 0.764
Li 4.968 3.785 9.541
Li 0.820 3.776 5.916
Li 5.022 1.195 8.682
Li 0.874 1.187 6.775
Li 3.966 5.161 6.833
Li 6.175 2.753 1.681
Ni 5.391 7.086 8.775
Ni 4.750 0.828 3.623
Ni 1.242 7.077 6.682
Ni 0.601 0.819 1.529
P 6.486 5.638 0.943
P 2.661 6.086 9.343
P 2.338 5.630 4.209
P 7.481 1.828 4.190
P 3.655 2.275 6.096
P -1.488 6.077 6.115
P 3.332 1.819 0.962
P -0.494 2.267 9.361
O 4.681 3.439 6.204
O 4.253 1.034 6.828
O 0.105 1.026 8.630
O 2.487 0.506 1.048
O 6.414 5.745 4.663
O 5.460 4.474 1.052
O 6.635 0.515 4.105
O 3.694 5.231 3.571
O 2.486 2.987 1.560
O 3.506 7.399 9.257
O -0.455 5.222 1.581
O 2.265 5.737 0.490
O 1.739 6.871 3.477
O -0.642 4.910 6.713
O 6.634 2.995 3.592
O 3.507 4.918 8.745
O 2.298 2.675 6.734
O 2.556 5.947 5.725
O 6.447 2.683 8.723
O 0.467 1.589 3.340
O 3.436 1.958 4.579
O -0.643 7.390 6.200
O -0.421 2.160 5.642
O 7.585 1.967 0.573
O 4.616 1.597 1.813
O 1.311 4.466 4.101
O 5.525 6.316 6.965
O 1.376 6.308 8.492
O 3.727 2.168 9.815
O 0.533 3.431 9.253
O -1.593 5.938 9.732
O 5.888 6.879 1.675
```

## Properties
- symmetry = No. 14
- E_tot (eV per atom) = -6.26
- DOS(E_F) (states/eV per atom) = 0.000
- M_tot (μB per formula unit) = 2.09
- mass density (g cm⁻³) = 2.7

Below is a relaxed Li5Ni6P8O28 crystal, with properties calculated at the GGA+U level.

Structure (extended XYZ):
```
47
Lattice="6.343 -0.003 0.003 -0.406 8.374 -0.015 -0.074 -3.092 9.571" Properties=species:S:1:pos:R:3 pbc="T T T"
Li 0.019 -0.443 5.791
Li 0.351 4.763 1.134
Li 2.932 2.639 4.780
Li 5.512 0.515 8.425
Li 5.844 5.721 3.769
Ni -0.240 2.641 4.778
Ni 1.526 5.447 6.132
Ni 1.910 7.212 0.573
Ni 2.969 4.185 -0.006
Ni 3.953 -1.934 8.987
Ni 4.338 -0.169 3.427
P 0.876 1.673 0.159
P 1.109 0.537 2.966
P 1.414 2.232 7.110
P 2.686 5.331 3.066
P 3.177 -0.053 6.493
P 4.450 3.046 2.449
P 4.755 4.741 6.593
P 4.988 3.605 9.400
O -0.048 6.788 0.714
O 0.059 -0.443 3.533
O 0.262 1.253 7.056
O 0.423 1.154 1.615
O 1.254 3.157 0.252
O 1.386 1.685 3.911
O 1.285 3.444 6.172
O 1.541 5.440 4.061
O 1.888 2.602 8.526
O 1.967 -0.930 6.201
O 1.956 -2.351 9.265
O 2.210 5.437 1.587
O 2.413 -0.162 2.493
O 2.696 1.482 6.402
O 3.168 3.797 3.157
O 3.451 5.440 7.066
O 3.654 -0.159 7.972
O 3.908 7.629 0.294
O 3.897 6.208 3.358
O 3.976 2.676 1.033
O 4.322 -0.162 5.498
O 4.578 1.834 3.388
O 4.477 3.593 5.648
O 4.609 2.121 9.307
O 5.440 4.124 7.944
O 5.601 4.025 2.503
O 5.804 5.721 6.026
O 5.912 -1.510 8.846
```

## Properties
- symmetry = No. 2
- E_tot (eV per atom) = -6.40
- M_tot (μB per formula unit) = 11.00
- mass density (g cm⁻³) = 3.5

Below is a relaxed LiNiPO4 crystal, with properties calculated at the GGA+U level.

Structure (extended XYZ):
```
28
Lattice="9.849 0.000 0.000 0.000 4.936 0.010 0.000 4.825 6.971" Properties=species:S:1:pos:R:3 pbc="T T T"
Li 8.226 6.324 6.890
Li 3.302 5.849 3.577
Li 1.623 3.437 0.091
Li 6.548 3.911 3.405
Ni 3.595 1.044 0.085
Ni 6.254 8.716 6.896
Ni 8.520 6.304 3.411
Ni 1.330 3.456 3.571
P 0.939 5.857 1.727
P 5.863 1.491 1.769
P 3.986 8.269 5.212
P 8.911 3.904 5.255
O 1.377 6.447 3.117
O 6.301 0.901 0.379
O 8.473 3.313 3.865
O 3.548 8.859 6.602
O 8.643 5.433 5.196
O 3.718 6.740 5.271
O 6.131 3.020 1.711
O 1.207 4.328 1.785
O 6.651 5.820 2.962
O 3.198 3.940 4.020
O 8.123 8.233 6.447
O 1.726 1.528 0.534
O 0.573 8.523 5.430
O 4.352 6.111 1.945
O 5.498 3.650 5.037
O 9.276 1.237 1.551
```

## Properties
- symmetry = No. 14
- energy above the most stable polymorph in this dataset (meV/atom) = 31
- DOS(E_F) (states/eV per atom) = 0.000
- M_tot (μB per formula unit) = 1.96
- mass density (g cm⁻³) = 3.2

Below is a relaxed LiNiPO4 crystal, with properties calculated at the GGA+U level.

Structure (extended XYZ):
```
28
Lattice="-1.677 -2.221 4.047 6.300 -2.887 1.027 2.711 7.848 5.431" Properties=species:S:1:pos:R:3 pbc="T T T"
Li 0.575 3.487 6.673
Li 5.041 4.536 6.119
Li 2.265 -1.833 4.453
Li 6.731 -0.784 3.900
Ni 1.941 6.105 5.763
Ni 5.327 -3.452 4.901
Ni 3.666 1.854 7.125
Ni 3.602 0.799 3.539
P 2.768 3.414 4.495
P 5.913 3.271 8.700
P 1.431 -0.519 1.782
P 4.575 -0.661 5.988
O 5.018 0.382 7.053
O 3.749 5.953 6.605
O 3.420 -3.431 4.298
O 2.151 2.141 3.849
O 1.738 2.107 7.462
O 6.391 3.696 7.283
O 0.316 -1.786 4.736
O 4.968 -0.197 4.556
O 3.912 2.959 5.466
O 6.792 2.050 9.141
O 0.132 0.147 2.355
O 3.011 -0.763 6.030
O 1.664 4.220 5.217
O 4.409 2.920 8.622
O 2.519 -0.717 2.862
O 5.264 -2.017 6.266
```

## Properties
- symmetry = No. 33
- energy above the most stable polymorph in this dataset (meV/atom) = 35
- DOS(E_F) (states/eV per atom) = 0.000
- M_tot (μB per formula unit) = 1.97
- mass density (g cm⁻³) = 3.1